(1)
A relaxed structure of Ce5YSb5. Source: Alexandria via LeMat-Bulk, functional PBE-GGA.

Calculated values
The total magnetization is 6.55 μB/f.u. The calculation puts the volume at 373.5 Å³/cell. As for the space group: No. 12. The formation energy without anion corrections is -0.8414 eV/atom.

Cell and atoms, written as extended XYZ:
```
11
Lattice="6.304 0.000 0.000 -3.152 7.027 -0.091 0.000 -2.736 8.467" Properties=species:S:1:pos:R:3 pbc="T T T"
Sb 0.000 1.418 2.772
Ce 0.000 2.833 5.586
Sb 0.000 0.055 7.050
Ce 0.000 -1.368 4.234
Ce 0.000 4.251 1.367
Y 0.000 0.000 0.000
Sb 3.152 0.000 0.000
Ce 3.152 0.039 7.009
Ce 3.152 1.457 2.789
Sb 3.152 2.872 5.604
Sb 3.152 4.236 1.325
```

***

(2)
A relaxed structure of LiScTl4. Source: Alexandria via LeMat-Bulk, functional PBE-GGA.

Calculated values
As for the formation energy: 0.040 eV per atom. The total magnetization is 0.00 μB/f.u. The calculation puts the volume at 162.7 Å³/cell. The calculation puts the offset from the most stable computed form at 0.000 eV per atom. As for the space group: No. 123.

Cell and atoms, written as extended XYZ:
```
6
Lattice="-1.126 1.056 4.580 -3.671 -3.141 -0.179 4.225 -5.072 2.211" Properties=species:S:1:pos:R:3 pbc="T T T"
Tl -1.116 -6.339 3.745
Li -1.557 -5.658 0.929
Tl -0.728 -2.880 0.491
Tl -3.125 -3.920 2.692
Sc 1.828 -6.095 4.414
Tl 1.283 -5.295 1.545
```

***

(3)
A relaxed structure of CsPaFeN3. Source: Alexandria via LeMat-Bulk, functional PBE-GGA.

Calculated values
The total magnetization is 0.92 μB/f.u. The calculation puts the volume at 240.5 Å³/cell. As for the space group: No. 11. The formation energy without anion corrections is -0.7674 eV/atom.

Cell and atoms, written as extended XYZ:
```
12
Lattice="-1.325 1.541 2.929 -7.799 -1.160 -2.918 2.413 -6.748 4.641" Properties=species:S:1:pos:R:3 pbc="T T T"
Cs -1.341 -1.396 1.213
N -7.086 -0.997 0.574
N -5.958 -3.581 0.274
N -4.455 -0.230 1.361
Cs -5.370 -4.970 3.440
N 0.375 -5.369 4.079
Fe 0.551 -3.688 3.275
N -0.752 -2.785 4.380
N -2.256 -6.137 3.293
Pa -1.610 -4.925 5.117
Fe -7.262 -2.678 1.378
Pa -5.101 -1.442 -0.464
```

***

(4)
A relaxed structure of Ga3CoIr. Source: Alexandria via LeMat-Bulk, functional PBE-GGA.

Calculated values
As for the formation energy: 0.433 eV per atom. The total magnetization is 2.27 μB/f.u. The calculation puts the volume at 108.6 Å³/cell. The calculation puts the offset from the most stable computed form at 0.733 eV per atom. As for the space group: No. 221.

Cell and atoms, written as extended XYZ:
```
5
Lattice="-4.223 -1.918 1.118 0.985 -3.772 -2.751 1.990 -2.204 3.734" Properties=species:S:1:pos:R:3 pbc="T T T"
Ga 0.492 -1.886 -1.375
Co -0.624 -3.947 1.051
Ga -2.111 -0.959 0.559
Ir 0.000 0.000 0.000
Ga 0.995 -1.102 1.867
```

***

(5)
A relaxed structure of Rb5Bi4Pb2. Source: Alexandria via LeMat-Bulk, functional PBE-GGA.

Calculated values
As for the formation energy: -0.180 eV per atom. The total magnetization is 0.00 μB/f.u. The calculation puts the volume at 499.1 Å³/cell. As for the space group: No. 71.

Cell and atoms, written as extended XYZ:
```
11
Lattice="3.893 0.000 0.000 0.000 11.262 -0.948 -1.947 -4.683 11.777" Properties=species:S:1:pos:R:3 pbc="T T T"
Bi 1.947 6.037 4.376
Rb 1.947 -2.398 7.833
Bi 0.000 7.954 -0.668
Rb 1.947 3.672 7.324
Rb 1.947 0.000 0.000
Pb 0.000 0.808 9.627
Pb 1.947 5.771 1.202
Bi 0.000 0.543 6.453
Rb 0.000 2.908 3.505
Rb 0.000 8.978 2.996
Bi 1.947 -1.374 11.497
```

***

(6)
A relaxed structure of MgFeIr. Source: Alexandria via LeMat-Bulk, functional PBE-GGA.

Calculated values
As for the formation energy: 0.091 eV per atom. The total magnetization is 3.03 μB/f.u. The calculation puts the volume at 44.4 Å³/cell. As for the space group: No. 42.

Cell and atoms, written as extended XYZ:
```
3
Lattice="-1.361 2.674 -6.279 -3.017 0.530 -5.998 -1.190 2.408 0.449" Properties=species:S:1:pos:R:3 pbc="T T T"
Fe -1.205 2.412 0.389
Ir -3.302 2.935 -7.983
Mg -2.251 2.673 -3.786
```

***

(7)
A relaxed structure of La2InOs. Source: Alexandria via LeMat-Bulk, functional PBE-GGA.

Calculated values
As for the formation energy: -0.125 eV per atom. The total magnetization is 0.00 μB/f.u. The calculation puts the volume at 109.6 Å³/cell. As for the space group: No. 44.

Cell and atoms, written as extended XYZ:
```
4
Lattice="6.939 0.005 -0.020 6.064 3.374 -0.020 1.859 0.483 4.682" Properties=species:S:1:pos:R:3 pbc="T T T"
Os 7.477 1.943 2.300
La 11.800 3.066 3.206
In 2.985 0.776 1.471
La 1.890 0.491 4.669
```

***

(8)
A relaxed structure of Y2CoNi2. Source: Alexandria via LeMat-Bulk, functional PBE-GGA.

Calculated values
As for the formation energy: -0.061 eV per atom. The total magnetization is 0.25 μB/f.u. The calculation puts the volume at 91.6 Å³/cell. As for the space group: No. 139.

Cell and atoms, written as extended XYZ:
```
5
Lattice="-3.286 0.433 -0.696 0.568 -0.873 -3.222 -2.753 -7.869 -0.132" Properties=species:S:1:pos:R:3 pbc="T T T"
Ni -1.772 -4.481 -2.657
Ni -3.699 -3.829 -1.394
Co 0.000 0.000 0.000
Y -1.651 -1.821 -1.577
Y -3.820 -6.489 -2.474
```

***

(9)
A relaxed structure of TaS2NCl. Source: Alexandria via LeMat-Bulk, functional PBE-GGA.

Calculated values
The total magnetization is 0.35 μB/f.u. The calculation puts the volume at 73.1 Å³/cell. The calculation puts the offset from the most stable computed form at 1.396 eV per atom. As for the space group: No. 123. The formation energy without anion corrections is 1.5840 eV/atom.

Cell and atoms, written as extended XYZ:
```
5
Lattice="-2.994 -1.557 3.029 2.283 -3.910 0.248 1.980 1.323 2.637" Properties=species:S:1:pos:R:3 pbc="T T T"
S 1.142 -1.955 0.124
N 0.990 0.662 1.318
Cl 0.000 0.000 0.000
S -1.497 -0.778 1.514
Ta 0.634 -2.072 2.957
```

***

(10)
A relaxed structure of Nd2Sm4Sn3N2. Source: Alexandria via LeMat-Bulk, functional PBE-GGA.

Calculated values
The total magnetization is 0.00 μB/f.u. The calculation puts the volume at 300.5 Å³/cell. As for the space group: No. 139. The formation energy without anion corrections is -0.9721 eV/atom.

Cell and atoms, written as extended XYZ:
```
11
Lattice="-3.925 1.978 2.002 -2.016 -4.373 0.368 8.209 -0.233 10.499" Properties=species:S:1:pos:R:3 pbc="T T T"
N 4.173 -1.140 9.308
Nd -0.952 -1.749 5.688
Sm 3.356 -3.379 9.917
Sn 0.423 -2.125 8.753
Sn 1.845 -0.504 4.116
Nd 3.220 -0.880 7.181
Sm -1.088 0.750 2.952
Sm 2.401 -0.203 10.734
Sn 0.000 0.000 0.000
N -1.905 -1.489 3.561
Sm -0.133 -2.425 2.135
```

***

(11)
A relaxed structure of Be5NiPt4. Source: Alexandria via LeMat-Bulk, functional PBE-GGA.

Calculated values
As for the formation energy: -0.702 eV per atom. The total magnetization is 0.00 μB/f.u. The calculation puts the volume at 110.7 Å³/cell. As for the space group: No. 123.

Cell and atoms, written as extended XYZ:
```
10
Lattice="2.796 0.000 0.000 0.000 2.796 0.000 0.000 0.000 14.164" Properties=species:S:1:pos:R:3 pbc="T T T"
Ni 0.000 0.000 0.000
Be 1.398 1.398 4.140
Be 1.398 1.398 12.967
Pt 0.000 0.000 11.482
Pt 0.000 0.000 8.553
Pt 0.000 0.000 5.610
Be 1.398 1.398 7.082
Be 1.398 1.398 1.197
Be 1.398 1.398 10.024
Pt 0.000 0.000 2.682
```

***

(12)
A relaxed structure of KMg2Al. Source: Alexandria via LeMat-Bulk, functional PBE-GGA.

Calculated values
As for the formation energy: 0.379 eV per atom. The total magnetization is 0.00 μB/f.u. The calculation puts the volume at 111.1 Å³/cell. As for the space group: No. 65.

Cell and atoms, written as extended XYZ:
```
4
Lattice="6.285 -0.157 0.000 -2.495 5.771 0.000 0.000 0.000 3.095" Properties=species:S:1:pos:R:3 pbc="T T T"
K -1.248 2.885 1.548
Al 3.143 -0.079 1.548
Mg 0.000 0.000 0.000
Mg 1.895 2.807 0.000
```